Entry 1:
Below is an optimized crystal structure of Hg2RuI8, with properties calculated at the PBE level.

Cell lengths 7.157, 8.931, 8.931 Å; angles 55.72, 88.50, 88.50 degrees
Fractional positions:
1 Hg 0.581 0.832 0.832
2 Hg 0.419 0.168 0.168
3 Ru 0.000 0.000 0.000
4 I 0.234 0.829 0.284
5 I 0.234 0.284 0.829
6 I 0.766 0.171 0.716
7 I 0.349 0.339 0.339
8 I 0.766 0.716 0.171
9 I 0.173 0.845 0.845
10 I 0.827 0.155 0.155
11 I 0.651 0.661 0.661

Computed properties:
Electronic total energy (eV for the cell shown): -23.562
Magnetic moment (μB/atom): 0.1888
Raw formation energy (eV/atom): -0.117

***

Entry 2:
Below is an optimized crystal structure of BaNaPrHg, with properties calculated at the PBE level.

Cell lengths 5.834, 5.834, 5.834 Å; angles 60.00, 60.00, 60.00 degrees
Fractional positions:
1 Pr 0.750 0.750 0.750
2 Na 0.000 0.000 0.000
3 Hg 0.500 0.500 0.500
4 Ba 0.250 0.250 0.250

Computed properties:
Electronic total energy (eV for the cell shown): -8.580
Magnetic moment (μB/atom): 0.0000

***

Entry 3:
Below is an optimized crystal structure of HfPtI, with properties calculated at the PBE level.

Cell lengths 3.651, 3.648, 12.781 Å; angles 90.00, 90.00, 120.03 degrees
Fractional positions:
1 Pt 0.557 0.114 0.000
2 Pt 0.550 0.099 0.500
3 I 0.556 0.113 0.700
4 I 0.556 0.113 0.300
5 Hf 0.224 0.447 0.865
6 Hf 0.224 0.447 0.135

Computed properties:
Electronic total energy (eV for the cell shown): -36.692
Magnetic moment (μB/atom): 0.0000
Raw formation energy (eV/atom): -0.267

***

Entry 4:
Below is an optimized crystal structure of HoCu6Ni4, with properties calculated at the PBE level.

Cell lengths 6.111, 6.111, 6.111 Å; angles 88.19, 121.05, 121.05 degrees
Fractional positions:
1 Ho 0.000 0.000 0.000
2 Cu 0.000 0.747 0.443
3 Cu 0.000 0.443 0.747
4 Cu 0.696 0.253 0.253
5 Cu 0.500 0.000 0.500
6 Cu 0.304 0.557 0.557
7 Cu 0.500 0.500 0.000
8 Ni 0.000 0.101 0.547
9 Ni 0.555 0.453 0.453
10 Ni 0.000 0.547 0.101
11 Ni 0.445 0.899 0.899

Computed properties:
Electronic total energy (eV for the cell shown): -49.968
Magnetic moment (μB/atom): 0.0000

***

Entry 5:
Below is an optimized crystal structure of Ti3SiI, with properties calculated at the PBE level.

Cell lengths 4.802, 4.802, 4.802 Å; angles 90.00, 90.00, 90.00 degrees
Fractional positions:
1 I 0.500 0.500 0.500
2 Si 0.000 0.000 0.000
3 Ti 0.000 0.500 0.000
4 Ti 0.000 0.000 0.500
5 Ti 0.500 0.000 0.000

Computed properties:
Electronic total energy (eV for the cell shown): -28.602
Polymorph energy (0 for the lowest one) (meV/atom): 0.0
Magnetic moment (μB/atom): 0.9019
Raw formation energy (eV/atom): 0.411

***

Entry 6:
Below is an optimized crystal structure of TbSm2As3Rh4, with properties calculated at the PBE level.

Cell lengths 4.121, 4.121, 11.445 Å; angles 90.00, 90.00, 90.00 degrees
Fractional positions:
1 Tb 0.500 0.500 0.500
2 Sm 0.500 0.000 0.223
3 Sm 0.000 0.500 0.777
4 As 0.000 0.000 0.500
5 As 0.500 0.000 0.872
6 As 0.000 0.500 0.128
7 Rh 0.500 0.500 0.000
8 Rh 0.000 0.000 0.000
9 Rh 0.500 0.000 0.661
10 Rh 0.000 0.500 0.339

Computed properties:
Electronic total energy (eV for the cell shown): -67.003
Magnetic moment (μB/atom): 0.0000

***

Entry 7:
Below is an optimized crystal structure of CeNbSn, with properties calculated at the PBE level.

Cell lengths 6.156, 5.040, 5.040 Å; angles 117.94, 90.00, 90.00 degrees
Fractional positions:
1 Sn 0.250 0.653 0.347
2 Sn 0.750 0.347 0.653
3 Ce 0.500 0.000 0.000
4 Ce 0.000 0.000 0.000
5 Nb 0.250 0.304 0.696
6 Nb 0.750 0.696 0.304

Computed properties:
Electronic total energy (eV for the cell shown): -41.095
Magnetic moment (μB/atom): 0.1910

***

Entry 8:
Below is an optimized crystal structure of SmYPdRh, with properties calculated at the PBE level.

Cell lengths 3.761, 4.497, 5.640 Å; angles 90.00, 109.47, 90.00 degrees
Fractional positions:
1 Sm 0.142 0.000 0.283
2 Y 0.864 0.500 0.727
3 Pd 0.584 0.500 0.168
4 Rh 0.411 0.000 0.821

Computed properties:
Electronic total energy (eV for the cell shown): -27.026
Polymorph energy (0 for the lowest one) (meV/atom): 0.0
Magnetic moment (μB/atom): 0.0000